(1)
Here is a relaxed Zr5NpP6 crystal from Alexandria via LeMat-Bulk. Energies are from PBE.

Geometry as POSCAR:
```
Zr5NpP6
1.0
3.267 -5.670 0.000
3.267 5.670 0.000
-2.181 0.000 6.154
Zr Np P
5 1 6
direct
0.000 0.000 0.000
0.169 0.831 0.500
0.331 0.669 0.000
0.669 0.331 0.000
0.831 0.169 0.500
0.500 0.500 0.500
0.081 0.415 0.247
0.248 0.248 0.750
0.415 0.081 0.247
0.585 0.919 0.753
0.752 0.752 0.250
0.919 0.585 0.753
```

## Properties
Space-group type ... C2/m (12)
Mass density ... 6.4 g/cm³
Volume ... 227.97 Å³ per cell
Energy ... -103.69 eV/cell
Calculated formation energy ... -1.295 eV/atom

---

(2)
Here is a relaxed NaCeAgPt crystal from Alexandria via LeMat-Bulk. Energies are from PBE.

Geometry as POSCAR:
```
NaCeAgPt
1.0
7.085 0.000 0.000
0.000 7.085 0.000
0.000 0.000 7.085
Na Ce Ag Pt
4 4 4 4
direct
0.000 0.000 0.000
0.000 0.500 0.500
0.500 0.000 0.500
0.500 0.500 0.000
0.000 0.000 0.500
0.000 0.500 0.000
0.500 0.000 0.000
0.500 0.500 0.500
0.250 0.250 0.750
0.250 0.750 0.250
0.750 0.250 0.250
0.750 0.750 0.750
0.250 0.250 0.250
0.250 0.750 0.750
0.750 0.250 0.750
0.750 0.750 0.250
```

## Properties
Space-group type ... F-43m (216)
Mass density ... 8.7 g/cm³
Volume ... 355.69 Å³ per cell
Energy ... -69.82 eV/cell
Calculated formation energy ... -0.327 eV/atom

---

(3)
Here is a relaxed CeTl2HgI6 crystal from Alexandria via LeMat-Bulk. Energies are from PBE.

Geometry as POSCAR:
```
CeTl2HgI6
1.0
4.331 2.500 7.907
-4.331 2.500 7.907
0.000 -5.001 7.907
Ce Tl Hg I
1 2 1 6
direct
0.000 0.000 0.000
0.335 0.335 0.335
0.814 0.814 0.814
0.507 0.507 0.507
0.071 0.362 0.785
0.192 0.948 0.629
0.362 0.785 0.071
0.629 0.192 0.948
0.785 0.071 0.362
0.948 0.629 0.192
```

## Properties
Formation energy without anion corrections ... -0.83 eV/atom
Space-group type ... R3 (146)
Mass density ... 4.9 g/cm³
Volume ... 513.70 Å³ per cell
Energy ... -28.59 eV/cell

---

(4)
Here is a relaxed Zn3C2 crystal from Alexandria via LeMat-Bulk. Energies are from PBE.

Geometry as POSCAR:
```
Zn3C2
1.0
3.342 0.000 0.000
-1.671 2.894 0.000
0.000 0.000 19.237
Zn C
9 6
direct
0.000 0.000 0.000
0.000 0.000 0.226
0.000 0.000 0.774
0.333 0.667 0.441
0.333 0.667 0.667
0.333 0.667 0.893
0.667 0.333 0.107
0.667 0.333 0.333
0.667 0.333 0.559
0.000 0.000 0.404
0.000 0.000 0.596
0.333 0.667 0.071
0.333 0.667 0.262
0.667 0.333 0.738
0.667 0.333 0.929
```

## Properties
Space-group type ... R-3m (166)
Mass density ... 5.9 g/cm³
Volume ... 186.06 Å³ per cell
Energy ... -48.26 eV/cell
Offset from the most stable computed form ... 0.186 eV per atom
Calculated formation energy ... 1.237 eV/atom

---

(5)
Here is a relaxed FeSi2Br2 crystal from Alexandria via LeMat-Bulk. Energies are from PBE.

Geometry as POSCAR:
```
FeSi2Br2
1.0
4.510 0.000 0.000
0.000 4.510 0.000
0.000 0.000 11.589
Fe Si Br
2 4 4
direct
0.000 0.000 0.000
0.500 0.500 0.500
0.000 0.000 0.399
0.000 0.000 0.601
0.500 0.500 0.101
0.500 0.500 0.899
0.000 0.500 0.250
0.000 0.500 0.750
0.500 0.000 0.250
0.500 0.000 0.750
```

## Properties
Formation energy without anion corrections ... 1.06 eV/atom
Space-group type ... I4/mmm (139)
Mass density ... 3.8 g/cm³
Volume ... 235.75 Å³ per cell
Energy ... -34.75 eV/cell
Offset from the most stable computed form ... 0.766 eV per atom

---

(6)
Here is a relaxed LiSmHoTe3 crystal from Alexandria via LeMat-Bulk. Energies are from PBE.

Geometry as POSCAR:
```
LiSmHoTe3
1.0
8.925 0.000 0.000
0.000 4.250 0.000
-2.250 0.000 9.218
Li Sm Ho Te
2 2 2 6
direct
0.085 0.250 0.085
0.915 0.750 0.915
0.189 0.250 0.733
0.811 0.750 0.267
0.332 0.750 0.339
0.668 0.250 0.661
0.091 0.250 0.376
0.235 0.750 0.000
0.429 0.750 0.674
0.571 0.250 0.326
0.765 0.250 0.000
0.909 0.750 0.624
```

## Properties
Formation energy without anion corrections ... -1.26 eV/atom
Space-group type ... P2_1/m (11)
Mass density ... 6.7 g/cm³
Volume ... 349.67 Å³ per cell
Energy ... -56.36 eV/cell